Entry 1:
Re2Ni | PBE | optimized geometry

Computed properties:
Its formation energy from the elements is 123 meV/atom. The calculation puts the magnetic moment at 0.000 μB per formula unit. The polymorph energy (0 for the lowest one) comes out at 0.48 eV/f.u. The value obtained for the density of states at the Fermi level is 4.7 states/eV per cell.

Geometry as POSCAR:
```
Re2Ni
1.0
-0.4042 -2.8613 1.3258
4.2252 0.2520 -1.9801
2.1842 0.7102 2.1985
Re Ni
2 1
direct
0.3346 0.6691 0.6654 Re
0.6654 0.3309 0.3346 Re
0.0000 0.0000 0.0000 Ni
```

Entry 2:
Re5Ni | PBE | optimized geometry

Computed properties:
Its formation energy from the elements is -22 meV/atom. The calculation puts the magnetic moment at 0.000 μB per formula unit. The polymorph energy (0 for the lowest one) comes out at 0.00 eV/f.u. The value obtained for the density of states at the Fermi level is 5.5 states/eV per cell.

Geometry as POSCAR:
```
Re5Ni
1.0
4.7672 0.0000 0.0000
-2.3836 4.1285 0.0000
0.0000 0.0000 4.3875
Ni Re
1 5
direct
0.3333 0.0000 0.5000 Ni
0.3333 0.6724 0.0000 Re
0.0057 0.0000 0.0000 Re
0.6609 0.3276 0.0000 Re
0.6667 0.6667 0.5000 Re
0.0000 0.3333 0.5000 Re
```

Entry 3:
ReNi2 | PBE | optimized geometry

Computed properties:
Its formation energy from the elements is 697 meV/atom. The calculation puts the magnetic moment at 0.003 μB per formula unit. The polymorph energy (0 for the lowest one) comes out at 2.24 eV/f.u. The value obtained for the density of states at the Fermi level is 4.6 states/eV per cell.

Geometry as POSCAR:
```
ReNi2
1.0
4.2953 0.0000 0.0000
0.0000 4.2953 0.0000
0.0000 0.0000 2.5531
Re Ni
1 2
direct
0.0000 0.0000 0.0000 Re
0.5000 0.0000 0.5000 Ni
0.0000 0.5000 0.5000 Ni
```

Entry 4:
ReNi7 | PBE | optimized geometry

Computed properties:
Its formation energy from the elements is 68 meV/atom. The calculation puts the magnetic moment at 2.686 μB per formula unit. The value obtained for the density of states at the Fermi level is 14.2 states/eV per cell.

Geometry as POSCAR:
```
ReNi7
1.0
-4.2941 2.6576 0.1724
-2.6756 0.2027 4.2816
-0.2066 4.2979 2.6490
Re Ni
1 7
direct
0.0000 0.0000 0.0000 Re
0.5000 0.5000 0.0000 Ni
0.5000 0.0000 0.5000 Ni
0.0000 0.0000 0.5000 Ni
0.5000 0.5000 0.5000 Ni
0.0000 0.5000 0.0000 Ni
0.5000 0.0000 0.0000 Ni
0.0000 0.5000 0.5000 Ni
```

Entry 5:
Re3Ni | PBE | optimized geometry

Computed properties:
Its formation energy from the elements is 89 meV/atom. The calculation puts the magnetic moment at 0.000 μB per formula unit. The value obtained for the density of states at the Fermi level is 4.0 states/eV per cell.

Geometry as POSCAR:
```
Re3Ni
1.0
2.7695 0.0000 0.0000
-1.3848 4.4517 -0.0107
0.0000 -0.8321 4.5990
Re Ni
3 1
direct
0.2497 0.4994 0.7565 Re
0.5000 0.0000 0.5000 Re
0.7503 0.5006 0.2435 Re
0.0000 0.0000 0.0000 Ni
```

Entry 6:
Re3Ni | PBE | optimized geometry

Computed properties:
Its formation energy from the elements is 24 meV/atom. The calculation puts the magnetic moment at 0.000 μB per formula unit. The value obtained for the density of states at the Fermi level is 3.1 states/eV per cell.

Geometry as POSCAR:
```
Re3Ni
1.0
-2.4406 1.5076 2.5337
-2.5363 0.6034 -2.8021
-1.5032 -3.4658 0.6143
Re Ni
3 1
direct
0.5000 0.5000 0.0000 Re
0.5000 0.0000 0.5000 Re
0.0000 0.5000 0.5000 Re
0.0000 0.0000 0.0000 Ni
```

Entry 7:
Re2Ni | PBE | optimized geometry

Computed properties:
Its formation energy from the elements is 208 meV/atom. The calculation puts the magnetic moment at 0.001 μB per formula unit. The polymorph energy (0 for the lowest one) comes out at 0.73 eV/f.u. The value obtained for the density of states at the Fermi level is 3.6 states/eV per cell.

Geometry as POSCAR:
```
Re2Ni
1.0
-2.9551 2.3197 2.3552
0.5850 4.2923 -0.9458
-1.1860 -3.9691 -1.5813
Re Ni
2 1
direct
0.3208 0.8208 0.5000 Re
0.6792 0.1792 0.5000 Re
0.0000 0.0000 0.0000 Ni
```

Entry 8:
ReNi2 | PBE | optimized geometry

Computed properties:
Its formation energy from the elements is 100 meV/atom. The calculation puts the magnetic moment at 0.000 μB per formula unit. The polymorph energy (0 for the lowest one) comes out at 0.45 eV/f.u. The value obtained for the density of states at the Fermi level is 2.6 states/eV per cell.

Geometry as POSCAR:
```
ReNi2
1.0
-0.9577 -2.1230 -1.9492
3.3573 -1.6413 2.5041
-1.1369 -1.6091 2.3112
Re Ni
1 2
direct
0.0000 0.0000 0.0000 Re
0.6733 0.3466 0.3267 Ni
0.3267 0.6534 0.6733 Ni
```

Entry 9:
Re3Ni5 | PBE | optimized geometry

Computed properties:
Its formation energy from the elements is 355 meV/atom. The calculation puts the magnetic moment at 0.000 μB per formula unit. The polymorph energy (0 for the lowest one) comes out at 2.03 eV/f.u. The value obtained for the density of states at the Fermi level is 20.4 states/eV per cell.

Geometry as POSCAR:
```
Re3Ni5
1.0
7.3061 -0.0005 0.0000
3.6573 6.3259 0.0000
0.0000 0.0000 4.5059
Ni Re
10 6
direct
0.1947 0.0000 0.2500 Ni
0.0000 0.1947 0.7500 Ni
0.8053 0.1947 0.2500 Ni
0.6666 0.6666 0.5000 Ni
0.8053 0.0001 0.7500 Ni
0.0000 0.8053 0.2500 Ni
0.3334 0.3334 0.5000 Ni
0.1947 0.8053 0.7500 Ni
0.3334 0.3334 0.0000 Ni
0.6666 0.6666 0.0000 Ni
0.0001 0.4100 0.2500 Re
0.9999 0.5900 0.7500 Re
0.4100 0.5900 0.2500 Re
0.5900 0.9999 0.2500 Re
0.4100 0.0001 0.7500 Re
0.5900 0.4101 0.7500 Re
```

Entry 10:
ReNi3 | PBE | optimized geometry

Computed properties:
Its formation energy from the elements is 29 meV/atom. The calculation puts the magnetic moment at 0.000 μB per formula unit. The value obtained for the density of states at the Fermi level is 3.7 states/eV per cell.

Geometry as POSCAR:
```
ReNi3
1.0
3.5752 0.0000 0.0000
-1.7876 4.0919 0.0036
0.0000 1.5591 3.2173
Ni Re
3 1
direct
0.5000 0.0000 0.5000 Ni
0.7500 0.5000 0.7500 Ni
0.0000 0.0000 0.0000 Ni
0.2500 0.5000 0.2500 Re
```

Entry 11:
Re4Ni5 | PBE | optimized geometry

Computed properties:
Its formation energy from the elements is 86 meV/atom. The calculation puts the magnetic moment at 0.000 μB per formula unit. The polymorph energy (0 for the lowest one) comes out at 0.00 eV/f.u. The value obtained for the density of states at the Fermi level is 9.1 states/eV per cell.

Geometry as POSCAR:
```
Re4Ni5
1.0
1.3988 -4.0490 -3.9891
0.5510 1.3194 5.6762
-5.6941 -1.3351 0.2421
Re Ni
4 5
direct
0.3302 0.0000 0.3302 Re
0.0000 0.6698 0.6698 Re
0.6698 0.0000 0.6698 Re
0.0000 0.3302 0.3302 Re
0.3345 0.6655 0.0000 Ni
0.0000 0.0000 0.0000 Ni
0.3345 0.3345 0.6690 Ni
0.6655 0.6655 0.3310 Ni
0.6655 0.3345 0.0000 Ni
```

Entry 12:
Re3Ni | PBE | optimized geometry

Computed properties:
Its formation energy from the elements is 99 meV/atom. The calculation puts the magnetic moment at 0.000 μB per formula unit. The value obtained for the density of states at the Fermi level is 3.5 states/eV per cell.

Geometry as POSCAR:
```
Re3Ni
1.0
-6.2818 3.9869 -4.9064
1.1690 -1.5112 -1.9608
-0.7698 -2.6018 -0.3648
Re Ni
3 1
direct
0.5000 0.5000 0.5000 Re
0.7571 0.2524 0.2524 Re
0.2429 0.7476 0.7476 Re
0.0000 0.0000 0.0000 Ni
```

Entry 13:
Re2Ni | PBE | optimized geometry

Computed properties:
Its formation energy from the elements is 142 meV/atom. The calculation puts the magnetic moment at 0.000 μB per formula unit. The polymorph energy (0 for the lowest one) comes out at 0.54 eV/f.u. The value obtained for the density of states at the Fermi level is 3.6 states/eV per cell.

Geometry as POSCAR:
```
Re2Ni
1.0
2.6781 0.0000 0.0000
-1.3391 5.8866 -0.0289
0.0000 0.6220 2.6049
Re Ni
2 1
direct
0.3390 0.6780 0.6610 Re
0.6610 0.3220 0.3390 Re
0.0000 0.0000 0.0000 Ni
```

Entry 14:
Re5Ni | PBE | optimized geometry

Computed properties:
Its formation energy from the elements is 503 meV/atom. The calculation puts the magnetic moment at 0.000 μB per formula unit. The polymorph energy (0 for the lowest one) comes out at 3.15 eV/f.u. The value obtained for the density of states at the Fermi level is 6.7 states/eV per cell.

Geometry as POSCAR:
```
Re5Ni
1.0
-3.3532 2.9499 2.4563
-3.3362 2.8083 -2.6386
-4.9455 -1.2331 0.0178
Re Ni
5 1
direct
0.6260 0.1220 0.6260 Re
0.6260 0.6260 0.1220 Re
0.2500 0.2500 0.2500 Re
0.6260 0.6260 0.6260 Re
0.1220 0.6260 0.6260 Re
0.0000 0.0000 0.0000 Ni
```

Entry 15:
ReNi2 | PBE | optimized geometry

Computed properties:
Its formation energy from the elements is 16 meV/atom. The calculation puts the magnetic moment at 0.000 μB per formula unit. The polymorph energy (0 for the lowest one) comes out at 0.20 eV/f.u. The value obtained for the density of states at the Fermi level is 3.1 states/eV per cell.

Geometry as POSCAR:
```
ReNi2
1.0
-0.1644 4.8188 2.9308
1.6055 2.2267 4.9297
0.8967 -3.0050 -4.6908
Ni Re
2 1
direct
0.6647 0.6647 0.0000 Ni
0.0019 0.0019 0.0000 Ni
0.3333 0.3333 0.0000 Re
```

Entry 16:
Re5Ni | PBE | optimized geometry

Computed properties:
Its formation energy from the elements is 7 meV/atom. The calculation puts the magnetic moment at 0.000 μB per formula unit. The polymorph energy (0 for the lowest one) comes out at 0.17 eV/f.u. The value obtained for the density of states at the Fermi level is 5.4 states/eV per cell.

Geometry as POSCAR:
```
Re5Ni
1.0
2.7763 0.0000 0.0000
1.3881 7.1355 0.0000
0.0000 0.0000 4.3744
Re Ni
5 1
direct
0.8915 0.2170 0.5000 Re
0.3349 0.3302 0.0000 Re
0.2232 0.5536 0.5000 Re
0.6617 0.6765 0.0000 Re
0.5528 0.8944 0.5000 Re
0.0026 0.9948 0.0000 Ni
```

Entry 17:
ReNi3 | PBE | optimized geometry

Computed properties:
Its formation energy from the elements is 2 meV/atom. The calculation puts the magnetic moment at 0.000 μB per formula unit. The value obtained for the density of states at the Fermi level is 3.8 states/eV per cell.

Geometry as POSCAR:
```
ReNi3
1.0
-0.7804 1.0009 -2.2499
1.5907 -4.0428 -0.8673
-4.1753 -1.0473 0.9824
Ni Re
3 1
direct
0.5015 0.0029 0.4985 Ni
0.2500 0.5000 0.7500 Ni
0.9985 0.9971 0.0015 Ni
0.7500 0.5000 0.2500 Re
```

Entry 18:
Re2Ni | PBE | optimized geometry

Computed properties:
Its formation energy from the elements is 19 meV/atom. The calculation puts the magnetic moment at 0.000 μB per formula unit. The polymorph energy (0 for the lowest one) comes out at 0.16 eV/f.u. The value obtained for the density of states at the Fermi level is 8.8 states/eV per cell.

Geometry as POSCAR:
```
Re2Ni
1.0
-6.5877 6.9996 6.4857
-6.9512 2.2416 9.0063
8.9199 -3.9889 -6.2435
Re Ni
8 4
direct
0.7517 0.7517 0.0000 Re
0.4146 0.4146 0.0000 Re
0.5854 0.5854 0.0000 Re
0.4983 0.9983 0.5000 Re
0.6646 0.1646 0.5000 Re
0.2483 0.2483 0.0000 Re
0.8354 0.3354 0.5000 Re
0.0017 0.5017 0.5000 Re
0.3324 0.8324 0.5000 Ni
0.0824 0.0824 0.0000 Ni
0.9176 0.9176 0.0000 Ni
0.1676 0.6676 0.5000 Ni
```

Entry 19:
ReNi4 | PBE | optimized geometry

Computed properties:
Its formation energy from the elements is -56 meV/atom. The calculation puts the magnetic moment at 0.000 μB per formula unit. The polymorph energy (0 for the lowest one) comes out at 0.00 eV/f.u. The value obtained for the density of states at the Fermi level is 3.9 states/eV per cell.

Geometry as POSCAR:
```
ReNi4
1.0
-0.5292 -1.3226 -4.1642
0.1420 -2.2103 3.8031
-3.7909 2.1643 0.5606
Ni Re
4 1
direct
0.2023 0.6022 0.8045 Ni
0.7977 0.3978 0.1955 Ni
0.3978 0.2023 0.6001 Ni
0.6022 0.7977 0.3999 Ni
0.0000 0.0000 0.0000 Re
```

Entry 20:
Re2Ni | PBE | optimized geometry

Computed properties:
Its formation energy from the elements is 340 meV/atom. The calculation puts the magnetic moment at 0.000 μB per formula unit. The polymorph energy (0 for the lowest one) comes out at 1.13 eV/f.u. The value obtained for the density of states at the Fermi level is 3.1 states/eV per cell.

Geometry as POSCAR:
```
Re2Ni
1.0
2.2099 -3.8276 0.0000
2.2099 3.8276 0.0000
0.0000 0.0000 2.5474
Ni Re
1 2
direct
0.0000 0.0000 0.5000 Ni
0.3333 0.6667 0.0000 Re
0.6667 0.3333 0.0000 Re
```